[1]
The following is a SCAN calculation of ScRuPt2 at its PBEsol-relaxed geometry, from Alexandria.

Structure (POSCAR):
```
ScRuPt2
1.0
2.835 0.000 0.000
0.000 3.851 0.000
0.000 0.000 5.655
Sc Ru Pt
1 1 2
Direct
0.000 0.000 0.000
0.500 0.500 0.722
0.000 0.000 0.515
0.500 0.500 0.244
```

## Properties
DFT formation energy ... -0.558 eV/atom


[2]
The following is a SCAN calculation of Fe2TcPt at its PBEsol-relaxed geometry, from Alexandria.

Structure (POSCAR):
```
Fe2TcPt
1.0
2.635 -4.288 0.000
2.635 4.288 0.000
-1.087 0.000 2.333
Fe Tc Pt
2 1 1
Direct
0.000 0.500 0.000
0.500 0.000 0.000
0.000 0.000 0.500
0.500 0.500 0.500
```

## Properties
DFT formation energy ... -0.040 eV/atom


[3]
The following is a SCAN calculation of FeWSe at its PBEsol-relaxed geometry, from Alexandria.

Structure (POSCAR):
```
FeWSe
1.0
0.000 2.902 2.902
2.902 0.000 2.902
2.902 2.902 0.000
Fe W Se
1 1 1
Direct
0.000 0.000 0.000
0.750 0.750 0.750
0.500 0.500 0.500
```

## Properties
Formation energy from raw total energies ... 61 kJ per mole of atoms


| no. | E_tot (eV/atom) | density (g cm⁻³) |
| --- | --- | --- |
| 1 | -47.9201 | 14.4 |
| 2 | -35.4178 | 12.7 |
| 3 | -35.3376 | 10.8 |